Record 1
! TbYAlIn GGA-PBE relaxed; values from VASP
! space-group type = P4mm, No. 99
! energy of formation from the pure elements = -440 meV per atom
! crystal system = tetragonal
&SYSTEM
  ibrav = 0, nat = 4, ntyp = 4
/
ATOMIC_SPECIES
Tb 158.93 Tb.upf
Y 88.91 Y.upf
Al 26.98 Al.upf
In 114.82 In.upf
ATOMIC_POSITIONS crystal
Tb 0.500 0.500 0.118
Y 0.500 0.500 0.596
Al 0.000 0.000 0.358
In 0.000 0.000 0.856
CELL_PARAMETERS angstrom
3.642 0.000 0.000
0.000 3.642 0.000
0.000 0.000 7.606

=====

Record 2
! TbYAlIn GGA-PBE relaxed; values from VASP
! space-group type = F-43m, No. 216
! energy of formation from the pure elements = -430 meV per atom
! crystal system = cubic
&SYSTEM
  ibrav = 0, nat = 4, ntyp = 4
/
ATOMIC_SPECIES
Y 88.91 Y.upf
Tb 158.93 Tb.upf
Al 26.98 Al.upf
In 114.82 In.upf
ATOMIC_POSITIONS crystal
Y 0.750 0.750 0.750
Tb 0.250 0.250 0.250
Al 0.000 0.000 0.000
In 0.500 0.500 0.500
CELL_PARAMETERS angstrom
5.229 0.000 0.000
2.615 4.529 0.000
2.615 1.510 4.270

=====

Record 3
! TbZrAlIn GGA-PBE relaxed; values from VASP
! space-group type = F-43m, No. 216
! energy of formation from the pure elements = -262 meV per atom
! crystal system = cubic
&SYSTEM
  ibrav = 0, nat = 4, ntyp = 4
/
ATOMIC_SPECIES
Tb 158.93 Tb.upf
Al 26.98 Al.upf
Zr 91.22 Zr.upf
In 114.82 In.upf
ATOMIC_POSITIONS crystal
Tb 0.750 0.750 0.750
Al 0.000 0.000 0.000
Zr 0.250 0.250 0.250
In 0.500 0.500 0.500
CELL_PARAMETERS angstrom
-0.941 -4.977 0.274
-0.040 -2.810 -4.223
3.723 -3.336 -0.862

=====

Record 4
! AlInTc GGA-PBE relaxed; values from VASP
! space-group type = F-43m, No. 216
! energy of formation from the pure elements = 350 meV per atom
! crystal system = cubic
&SYSTEM
  ibrav = 0, nat = 3, ntyp = 3
/
ATOMIC_SPECIES
Al 26.98 Al.upf
Tc 98.00 Tc.upf
In 114.82 In.upf
ATOMIC_POSITIONS crystal
Al 0.000 0.000 0.000
Tc 0.250 0.250 0.250
In 0.500 0.500 0.500
CELL_PARAMETERS angstrom
-0.453 4.227 1.118
-3.627 1.344 2.088
0.211 1.190 4.226

=====

Values of density of states at the Fermi level, in order: 2.100, 1.522, 3.665, 4.498, all in states/eV per cell.
Values of M_tot, in order: 0.000, 0.000, 0.002, 0.444, all in μB per formula unit.